Entry 1:
An optimized crystal structure of LiYW2. Source: Alexandria via LeMat-Bulk, functional PBE.

Cell: 5.123 2.837 5.101 Å, 82.23 90.00 90.00°
Atoms (fractional coordinates):
1 Li 0.500 0.750 0.750
2 Y 0.500 0.250 0.250
3 W 0.000 0.931 0.999
4 W 0.000 0.569 0.501

- Raw total energy: -31.98 eV/f.u.
- Energy above the lowest structure with this stoichiometry: 195.1 meV/atom
- Energy of formation from the pure elements: 576 meV per atom
- Theoretical density: 10.5 g/cm3

=====

Entry 2:
An optimized crystal structure of LiYW. Source: Alexandria via LeMat-Bulk, functional PBE.

Cell: 4.452 4.452 4.452 Å, 60.00 60.00 60.00°
Atoms (fractional coordinates):
1 Li 0.750 0.750 0.750
2 Y 0.500 0.500 0.500
3 W 0.000 0.000 0.000

- Raw total energy: -17.55 eV/f.u.
- Energy above the lowest structure with this stoichiometry: 662.9 meV/atom
- Energy of formation from the pure elements: 1262 meV per atom
- Theoretical density: 7.4 g/cm3

=====

Entry 3:
An optimized crystal structure of LiYW2. Source: Alexandria via LeMat-Bulk, functional PBE.

Cell: 2.773 2.773 9.750 Å, 90.00 90.00 90.00°
Atoms (fractional coordinates):
1 W 0.500 0.500 0.234
2 W 0.000 0.000 0.002
3 Y 0.000 0.000 0.488
4 Li 0.500 0.500 0.776

- Raw total energy: -31.71 eV/f.u.
- Energy above the lowest structure with this stoichiometry: 263.8 meV/atom
- Energy of formation from the pure elements: 645 meV per atom
- Theoretical density: 10.3 g/cm3

=====

Entry 4:
An optimized crystal structure of LiYW2. Source: Alexandria via LeMat-Bulk, functional PBE.

Cell: 5.120 5.832 2.796 Å, 79.83 81.74 113.86°
Atoms (fractional coordinates):
1 Y 0.000 0.500 0.500
2 W 0.500 0.000 0.500
3 W 0.000 0.000 0.000
4 Li 0.500 0.500 0.000

- Raw total energy: -31.88 eV/f.u.
- Energy above the lowest structure with this stoichiometry: 219.5 meV/atom
- Energy of formation from the pure elements: 600 meV per atom
- Theoretical density: 10.5 g/cm3

=====

Entry 5:
An optimized crystal structure of LiYW. Source: Alexandria via LeMat-Bulk, functional PBE.

Cell: 4.950 4.950 2.763 Å, 90.00 90.00 120.00°
Atoms (fractional coordinates):
1 W 0.667 0.333 0.165
2 Y 0.333 0.667 0.666
3 Li 0.000 0.000 0.169

- Raw total energy: -19.48 eV/f.u.
- Energy above the lowest structure with this stoichiometry: 18.0 meV/atom
- Energy of formation from the pure elements: 617 meV per atom
- Theoretical density: 7.9 g/cm3

=====

Entry 6:
An optimized crystal structure of LiY2W. Source: Alexandria via LeMat-Bulk, functional PBE.

Cell: 6.271 6.271 6.271 Å, 150.29 130.75 58.58°
Atoms (fractional coordinates):
1 Y 0.028 0.028 0.000
2 Y 0.733 0.233 0.500
3 W 0.267 0.767 0.500
4 Li 0.472 0.472 0.000

- Raw total energy: -25.82 eV/f.u.
- Energy above the lowest structure with this stoichiometry: 148.1 meV/atom
- Energy of formation from the pure elements: 493 meV per atom
- Theoretical density: 6.7 g/cm3

=====

Q: Which value of theoretical density does entry 2 give?
A: 7.4 g/cm3

=====

Q: Which formula does entry 4 have?
A: LiYW2

=====

Q: Which value of energy above the lowest structure with this stoichiometry does entry 3 give?
A: 263.8 meV/atom